Below is a geometry-optimized AcYInPd structure, with properties calculated at the PBE level.

Values from the calculation:
Total magnetic moment (Bohr magnetons per cell): 0.0

Lattice parameters (Å, degrees): 5.410 5.410 5.410 60.00 60.00 60.00
Sites, in units of the cell vectors:
1 In 0.500 0.500 0.500
2 Y 0.750 0.750 0.750
3 Ac 0.250 0.250 0.250
4 Pd 0.000 0.000 0.000



Below is a geometry-optimized AcZnIn2Pd2 structure, with properties calculated at the PBE level.

Values from the calculation:
Total magnetic moment (Bohr magnetons per cell): 0.0

Lattice parameters (Å, degrees): 5.261 5.261 6.712 113.07 113.07 90.00
Sites, in units of the cell vectors:
1 Pd 0.782 0.782 0.564
2 Pd 0.218 0.218 0.436
3 In 0.250 0.750 0.500
4 In 0.750 0.250 0.500
5 Ac 0.500 0.500 0.000
6 Zn 0.000 0.000 0.000



Below is a geometry-optimized Ac3Zn2InPd6 structure, with properties calculated at the PBE level.

Values from the calculation:
Total magnetic moment (Bohr magnetons per cell): 0.0

Lattice parameters (Å, degrees): 5.939 5.939 9.070 90.00 90.00 120.00
Sites, in units of the cell vectors:
1 Pd 0.649 0.824 0.273
2 Pd 0.176 0.824 0.273
3 Pd 0.824 0.176 0.727
4 Pd 0.351 0.176 0.727
5 Pd 0.824 0.649 0.727
6 Pd 0.176 0.351 0.273
7 Ac 0.000 0.000 0.000
8 Ac 0.333 0.667 0.634
9 Ac 0.667 0.333 0.366
10 Zn 0.333 0.667 0.037
11 Zn 0.667 0.333 0.963
12 In 0.000 0.000 0.500



Below is a geometry-optimized AcZnInPd structure, with properties calculated at the PBE level.

Values from the calculation:
Total magnetic moment (Bohr magnetons per cell): 0.0

Lattice parameters (Å, degrees): 5.112 5.112 5.112 60.00 60.00 60.00
Sites, in units of the cell vectors:
1 Ac 0.750 0.750 0.750
2 Zn 0.000 0.000 0.000
3 Pd 0.500 0.500 0.500
4 In 0.250 0.250 0.250



Below is a geometry-optimized AcZnInPd2 structure, with properties calculated at the PBE level.

Values from the calculation:
Total magnetic moment (Bohr magnetons per cell): 0.0

Lattice parameters (Å, degrees): 4.318 4.318 6.750 108.65 108.65 90.00
Sites, in units of the cell vectors:
1 Ac 0.000 0.000 0.000
2 In 0.250 0.750 0.500
3 Pd 0.614 0.614 0.227
4 Pd 0.386 0.386 0.773
5 Zn 0.750 0.250 0.500



Below is a geometry-optimized Ac2ZnInPd6 structure, with properties calculated at the PBE level.

Values from the calculation:
Total magnetic moment (Bohr magnetons per cell): 0.0

Lattice parameters (Å, degrees): 6.781 6.936 6.786 79.62 49.10 99.07
Sites, in units of the cell vectors:
1 Zn 0.500 0.500 0.000
2 In 0.000 0.000 0.000
3 Ac 0.244 0.778 0.467
4 Ac 0.756 0.222 0.533
5 Pd 0.261 0.751 0.001
6 Pd 0.248 0.252 0.490
7 Pd 0.251 0.417 0.837
8 Pd 0.749 0.583 0.163
9 Pd 0.739 0.249 0.999
10 Pd 0.752 0.748 0.510



Below is a geometry-optimized Ac2PmIn4 structure, with properties calculated at the PBE level.

Values from the calculation:
Total magnetic moment (Bohr magnetons per cell): 0.0

Lattice parameters (Å, degrees): 5.650 5.650 8.482 109.45 109.45 90.00
Sites, in units of the cell vectors:
1 In 0.895 0.396 0.791
2 In 0.605 0.104 0.209
3 In 0.105 0.604 0.209
4 In 0.395 0.896 0.791
5 Ac 0.258 0.258 0.517
6 Ac 0.742 0.742 0.483
7 Pm 0.000 0.000 0.000



Below is a geometry-optimized Ac4PmIn5 structure, with properties calculated at the PBE level.

Values from the calculation:
Total magnetic moment (Bohr magnetons per cell): 0.0

Lattice parameters (Å, degrees): 4.030 4.030 20.561 90.00 90.00 90.00
Sites, in units of the cell vectors:
1 In 0.500 0.500 0.707
2 In 0.500 0.500 0.914
3 In 0.500 0.500 0.500
4 In 0.500 0.500 0.293
5 In 0.500 0.500 0.086
6 Pm 0.000 0.000 0.000
7 Ac 0.000 0.000 0.809
8 Ac 0.000 0.000 0.191
9 Ac 0.000 0.000 0.604
10 Ac 0.000 0.000 0.396



Below is a geometry-optimized AcPm3In3 structure, with properties calculated at the PBE level.

Values from the calculation:
Polymorph energy (0 for the lowest one) (meV/atom): 0
Total magnetic moment (Bohr magnetons per cell): 2.1

Lattice parameters (Å, degrees): 9.641 9.641 9.641 90.00 90.00 90.00
Each line ends with the local moment (μB).
Sites, in units of the cell vectors:
1 In 0.408 0.493 0.816  0.00
2 In 0.493 0.816 0.408  0.00
3 In 0.316 0.092 0.507  0.00
4 In 0.007 0.184 0.908  0.00
5 In 0.684 0.592 0.993  0.00
6 In 0.592 0.993 0.684  0.00
7 In 0.908 0.007 0.184  0.00
8 In 0.184 0.908 0.007  0.00
9 In 0.993 0.684 0.592  0.00
10 In 0.816 0.408 0.493  0.00
11 In 0.092 0.507 0.316  0.00
12 In 0.507 0.316 0.092  0.00
13 Pm 0.292 0.792 0.708  0.04
14 Pm 0.208 0.208 0.208  0.04
15 Pm 0.708 0.292 0.792  0.04
16 Pm 0.627 0.127 0.373  0.09
17 Pm 0.873 0.873 0.873  0.09
18 Pm 0.167 0.833 0.333  0.11
19 Pm 0.333 0.167 0.833  0.11
20 Pm 0.792 0.708 0.292  0.04
21 Pm 0.667 0.667 0.667  0.11
22 Pm 0.833 0.333 0.167  0.11
23 Pm 0.127 0.373 0.627  0.09
24 Pm 0.373 0.627 0.127  0.09
25 Ac 0.459 0.459 0.459  0.03
26 Ac 0.959 0.041 0.541  0.03
27 Ac 0.541 0.959 0.041  0.03
28 Ac 0.041 0.541 0.959  0.03



Below is a geometry-optimized Ac4PmIn2 structure, with properties calculated at the PBE level.

Values from the calculation:
Total magnetic moment (Bohr magnetons per cell): 0.0

Lattice parameters (Å, degrees): 6.266 6.266 8.462 111.73 111.73 90.00
Sites, in units of the cell vectors:
1 Pm 0.000 0.000 0.000
2 Ac 0.250 0.750 0.500
3 Ac 0.500 0.000 0.000
4 Ac 0.000 0.500 0.000
5 Ac 0.750 0.250 0.500
6 In 0.380 0.380 0.759
7 In 0.620 0.620 0.241



Below is a geometry-optimized AcPm3In3 structure, with properties calculated at the PBE level.

Values from the calculation:
Polymorph energy (0 for the lowest one) (meV/atom): 137
Total magnetic moment (Bohr magnetons per cell): 0.0

Lattice parameters (Å, degrees): 9.136 9.136 8.288 56.55 56.55 60.00
Sites, in units of the cell vectors:
1 In 0.686 0.960 0.135
2 In 0.040 0.781 0.865
3 In 0.960 0.219 0.135
4 In 0.219 0.686 0.135
5 In 0.314 0.040 0.865
6 In 0.781 0.314 0.865
7 Pm 0.429 0.256 0.357
8 Pm 0.571 0.744 0.643
9 Pm 0.958 0.429 0.357
10 Pm 0.256 0.958 0.357
11 Pm 0.042 0.571 0.643
12 Pm 0.744 0.042 0.643
13 Ac 0.622 0.622 0.135
14 Ac 0.378 0.378 0.865



Below is a geometry-optimized AcPmIn structure, with properties calculated at the PBE level.

Values from the calculation:
Polymorph energy (0 for the lowest one) (meV/atom): 0
Total magnetic moment (Bohr magnetons per cell): 0.9

Lattice parameters (Å, degrees): 4.998 4.998 8.584 90.00 90.00 90.00
Each line ends with the local moment (μB).
Sites, in units of the cell vectors:
1 In 0.500 0.000 0.753  -0.01
2 In 0.000 0.500 0.247  -0.01
3 Pm 0.500 0.500 0.500  0.10
4 Pm 0.000 0.000 0.500  0.10
5 Ac 0.500 0.000 0.148  0.07
6 Ac 0.000 0.500 0.852  0.07



Below is a geometry-optimized Ac5Pm4In4 structure, with properties calculated at the PBE level.

Values from the calculation:
Total magnetic moment (Bohr magnetons per cell): 0.0

Lattice parameters (Å, degrees): 5.152 9.904 9.904 86.12 74.92 74.92
Sites, in units of the cell vectors:
1 In 0.925 0.830 0.320
2 In 0.755 0.320 0.170
3 In 0.075 0.170 0.680
4 In 0.245 0.680 0.830
5 Pm 0.589 0.313 0.510
6 Pm 0.902 0.510 0.687
7 Pm 0.098 0.490 0.313
8 Pm 0.411 0.687 0.490
9 Ac 0.620 0.679 0.080
10 Ac 0.700 0.920 0.679
11 Ac 0.000 0.000 0.000
12 Ac 0.300 0.080 0.321
13 Ac 0.380 0.321 0.920



Below is a geometry-optimized AcPmIn structure, with properties calculated at the PBE level.

Values from the calculation:
Polymorph energy (0 for the lowest one) (meV/atom): 94
Total magnetic moment (Bohr magnetons per cell): 0.0

Lattice parameters (Å, degrees): 3.984 5.488 5.488 120.00 90.00 90.00
Sites, in units of the cell vectors:
1 In 0.087 0.000 0.000
2 Ac 0.681 0.333 0.667
3 Pm 0.232 0.667 0.333



Below is a geometry-optimized AcPm2In structure, with properties calculated at the PBE level.

Values from the calculation:
Polymorph energy (0 for the lowest one) (meV/atom): 143
Total magnetic moment (Bohr magnetons per cell): 0.0

Lattice parameters (Å, degrees): 5.695 5.695 5.695 60.00 60.00 60.00
Sites, in units of the cell vectors:
1 Ac 0.500 0.500 0.500
2 Pm 0.250 0.250 0.250
3 Pm 0.750 0.750 0.750
4 In 0.000 0.000 0.000



Below is a geometry-optimized AcPm5In3 structure, with properties calculated at the PBE level.

Values from the calculation:
Total magnetic moment (Bohr magnetons per cell): 2.8

Lattice parameters (Å, degrees): 7.009 9.669 9.669 120.00 90.00 90.00
Each line ends with the local moment (μB).
Sites, in units of the cell vectors:
1 Pm 0.750 0.000 0.335  0.10
2 Pm 0.750 0.665 0.665  0.10
3 Pm 0.500 0.333 0.667  0.15
4 Pm 0.500 0.667 0.333  0.15
5 Pm 0.250 0.000 0.665  0.10
6 Pm 0.000 0.667 0.333  0.15
7 Pm 0.750 0.335 0.000  0.10
8 Pm 0.000 0.333 0.667  0.15
9 Pm 0.250 0.335 0.335  0.10
10 Pm 0.250 0.665 0.000  0.10
11 In 0.750 0.000 0.662  0.00
12 In 0.250 0.338 0.000  0.00
13 In 0.250 0.662 0.662  0.00
14 In 0.750 0.662 0.000  0.00
15 In 0.250 0.000 0.338  0.00
16 In 0.750 0.338 0.338  0.00
17 Ac 0.500 0.000 0.000  0.10
18 Ac 0.000 0.000 0.000  0.10



Below is a geometry-optimized AcPmIn3 structure, with properties calculated at the PBE level.

Values from the calculation:
Total magnetic moment (Bohr magnetons per cell): 0.0

Lattice parameters (Å, degrees): 4.748 4.570 14.707 98.94 90.00 90.00
Sites, in units of the cell vectors:
1 In 0.250 0.475 0.949
2 In 0.750 0.525 0.051
3 In 0.250 0.683 0.366
4 In 0.750 0.317 0.634
5 In 0.250 0.376 0.752
6 In 0.750 0.624 0.248
7 Ac 0.750 0.924 0.848
8 Ac 0.250 0.076 0.152
9 Pm 0.750 0.205 0.411
10 Pm 0.250 0.795 0.589



Below is a geometry-optimized AcPm3In structure, with properties calculated at the PBE level.

Values from the calculation:
Polymorph energy (0 for the lowest one) (meV/atom): 0
Total magnetic moment (Bohr magnetons per cell): 0.0

Lattice parameters (Å, degrees): 5.142 4.978 13.376 90.00 78.92 90.00
Sites, in units of the cell vectors:
1 Ac 0.473 0.750 0.702
2 Ac 0.175 0.250 0.298
3 Pm 0.371 0.250 0.907
4 Pm 0.278 0.750 0.093
5 Pm 0.772 0.250 0.104
6 Pm 0.876 0.750 0.896
7 Pm 0.576 0.250 0.497
8 Pm 0.072 0.750 0.503
9 In 0.669 0.750 0.310
10 In 0.979 0.250 0.690



Below is a geometry-optimized AcPmIn2 structure, with properties calculated at the PBE level.

Values from the calculation:
Polymorph energy (0 for the lowest one) (meV/atom): 186
Total magnetic moment (Bohr magnetons per cell): 0.0

Lattice parameters (Å, degrees): 3.960 3.960 10.310 78.93 78.93 60.00
Sites, in units of the cell vectors:
1 In 0.245 0.245 0.264
2 In 0.755 0.755 0.736
3 Pm 0.500 0.500 0.500
4 Ac 0.000 0.000 0.000



Below is a geometry-optimized AcPmIn structure, with properties calculated at the PBE level.

Values from the calculation:
Polymorph energy (0 for the lowest one) (meV/atom): 46
Total magnetic moment (Bohr magnetons per cell): 0.0

Lattice parameters (Å, degrees): 3.827 3.827 7.616 104.55 104.55 90.00
Sites, in units of the cell vectors:
1 Ac 0.960 0.960 0.920
2 Pm 0.263 0.263 0.525
3 In 0.627 0.627 0.254



Below is a geometry-optimized AcPm3In structure, with properties calculated at the PBE level.

Values from the calculation:
Polymorph energy (0 for the lowest one) (meV/atom): 173
Total magnetic moment (Bohr magnetons per cell): 0.0

Lattice parameters (Å, degrees): 6.336 8.210 8.211 120.00 90.00 90.00
Sites, in units of the cell vectors:
1 Pm 0.750 0.190 0.381
2 Pm 0.250 0.810 0.190
3 Pm 0.750 0.190 0.810
4 Pm 0.750 0.619 0.810
5 Pm 0.250 0.810 0.619
6 Pm 0.250 0.381 0.190
7 Ac 0.250 0.333 0.667
8 Ac 0.750 0.667 0.333
9 In 0.000 0.000 0.000
10 In 0.500 0.000 0.000



Below is a geometry-optimized Ac14PmIn structure, with properties calculated at the PBE level.

Values from the calculation:
Total magnetic moment (Bohr magnetons per cell): 0.0

Lattice parameters (Å, degrees): 7.831 7.831 11.105 90.00 90.00 90.00
Sites, in units of the cell vectors:
1 Pm 0.375 0.625 0.000
2 Ac 0.123 0.373 0.758
3 Ac 0.375 0.625 0.500
4 Ac 0.875 0.625 0.500
5 Ac 0.123 0.877 0.242
6 Ac 0.875 0.626 0.000
7 Ac 0.875 0.125 0.500
8 Ac 0.627 0.877 0.242
9 Ac 0.374 0.125 0.000
10 Ac 0.627 0.877 0.758
11 Ac 0.627 0.373 0.241
12 Ac 0.123 0.373 0.242
13 Ac 0.627 0.373 0.759
14 Ac 0.375 0.125 0.500
15 Ac 0.123 0.877 0.758
16 In 0.875 0.125 0.000



Below is a geometry-optimized AcPm5In6 structure, with properties calculated at the PBE level.

Values from the calculation:
Total magnetic moment (Bohr magnetons per cell): 0.0

Lattice parameters (Å, degrees): 5.519 7.744 9.533 113.97 106.47 89.99
Sites, in units of the cell vectors:
1 In 0.500 0.730 0.000
2 In 0.829 0.569 0.657
3 In 0.171 0.431 0.343
4 In 0.829 0.088 0.657
5 In 0.171 0.912 0.343
6 In 0.500 0.270 0.000
7 Pm 0.000 0.500 0.000
8 Pm 0.340 0.840 0.679
9 Pm 0.660 0.160 0.321
10 Pm 0.670 0.670 0.340
11 Pm 0.330 0.330 0.660
12 Ac 0.000 0.000 0.000



Energy relative to the elements across the listed records, respectively: -48 -36 -60 -45 -62 -64 -27 -42 -31 16 -17 -29 -27 -20 -8 -31 -43 -14 -26 -25 2 -2 -46 kJ per mole of atoms.